DFT (PBE with a Hubbard U) results for an optimized crystal structure of Ba3CoBr2F6.

Structure (POSCAR):
```
Ba3CoBr2F6
1.0
-0.2688 -5.1879 -2.4828
7.1369 -1.4960 2.3532
-6.0499 -2.5838 4.2312
Co F Br Ba
1 6 2 3
Cartesian
-0.1344 -2.5940 -1.2414
1.2557 -4.3500 -0.4632
-0.4375 -4.9177 4.5648
-0.7866 -2.8512 0.5730
-4.0785 -4.1545 3.3643
4.8967 -5.1132 0.7373
1.6048 -6.4166 3.5285
2.4376 -2.5936 3.4329
-1.6194 -6.6741 0.6687
0.4091 -4.6339 2.0508
3.5685 -0.7480 1.1766
-3.1594 -3.8859 0.8742
```

Values from the calculation:
- Crystal system: monoclinic
- Uncorrected energy: -4.91 eV per atom
- Total magnetization: 3.00 μB per cell
- Calculated density: 4.14 g cm⁻³
- V: 298.85 Å³ per cell